Arrangement i

First-principles (PBE-GGA) data for a geometry-optimized Na3GaAs structure, as listed in the Alexandria database.

Symmetry = No. 46

a = 7.267 Å, b = 7.267 Å, c = 7.267 Å
α = 98.17°, β = 119.33°, γ = 111.60°
Element x y z (fractional)
Ga 0.378 0.109 0.769
Na 0.923 0.160 0.688
Na 0.472 0.660 0.737
Ga 0.339 0.609 0.231
Na 0.923 0.735 0.263
Na 0.938 0.250 0.188
As 0.582 0.905 0.177
Na 0.062 0.750 0.812
As 0.727 0.405 0.823
Na 0.472 0.235 0.312

***

Arrangement ii

First-principles (PBE-GGA) data for a geometry-optimized Na3GaAs structure, as listed in the Alexandria database.

Symmetry = No. 221

a = 5.524 Å, b = 5.524 Å, c = 5.524 Å
α = 90.00°, β = 90.00°, γ = 90.00°
Element x y z (fractional)
As 0.000 0.000 0.000
Na 0.000 0.000 0.500
Ga 0.500 0.500 0.500
Na 0.500 0.000 0.000
Na 0.000 0.500 0.000

***

Which structure is the most stable? The one labeled arrangement i.

***

Arrangement i

First-principles (PBE-GGA) data for a geometry-optimized NbGaAsSe2 structure, as listed in the Alexandria database.

Symmetry = No. 123

a = 4.860 Å, b = 4.860 Å, c = 4.759 Å
α = 90.00°, β = 90.00°, γ = 90.00°
Element x y z (fractional)
As 0.000 0.000 0.500
Se 0.500 0.000 0.000
Ga 0.000 0.000 0.000
Nb 0.500 0.500 0.500
Se 0.000 0.500 0.000

***

Arrangement ii

First-principles (PBE-GGA) data for a geometry-optimized NbGaAsSe2 structure, as listed in the Alexandria database.

Symmetry = No. 123

a = 5.070 Å, b = 5.070 Å, c = 5.084 Å
α = 90.00°, β = 90.00°, γ = 90.00°
Element x y z (fractional)
Se 0.000 0.500 0.000
As 0.000 0.000 0.500
Nb 0.000 0.000 0.000
Ga 0.500 0.500 0.500
Se 0.500 0.000 0.000

***

Which structure is the most stable? The one labeled arrangement ii.

***

Arrangement i

First-principles (PBE-GGA) data for a geometry-optimized NbGaAs2Se structure, as listed in the Alexandria database.

Symmetry = No. 123

a = 4.729 Å, b = 4.729 Å, c = 4.963 Å
α = 90.00°, β = 90.00°, γ = 90.00°
Element x y z (fractional)
Nb 0.500 0.500 0.500
As 0.000 0.500 0.000
Ga 0.000 0.000 0.000
As 0.500 0.000 0.000
Se 0.000 0.000 0.500

***

Arrangement ii

First-principles (PBE-GGA) data for a geometry-optimized NbGaAs2Se structure, as listed in the Alexandria database.

Symmetry = No. 123

a = 5.064 Å, b = 5.064 Å, c = 5.041 Å
α = 90.00°, β = 90.00°, γ = 90.00°
Element x y z (fractional)
Se 0.000 0.000 0.500
As 0.000 0.500 0.000
Nb 0.000 0.000 0.000
Ga 0.500 0.500 0.500
As 0.500 0.000 0.000

***

Which structure is the most stable? The one labeled arrangement ii.

***

Arrangement i

First-principles (PBE-GGA) data for a geometry-optimized Nd2GaAs structure, as listed in the Alexandria database.

Symmetry = No. 166

a = 4.152 Å, b = 4.152 Å, c = 7.928 Å
α = 74.82°, β = 74.82°, γ = 60.00°
Element x y z (fractional)
As 0.000 0.000 0.000
Nd 0.257 0.257 0.229
Nd 0.743 0.743 0.771
Ga 0.500 0.500 0.500

***

Arrangement ii

First-principles (PBE-GGA) data for a geometry-optimized Nd2GaAs structure, as listed in the Alexandria database.

Symmetry = No. 63

a = 4.225 Å, b = 4.343 Å, c = 12.230 Å
α = 100.23°, β = 90.00°, γ = 90.00°
Element x y z (fractional)
Nd 0.750 0.688 0.376
As 0.250 0.189 0.377
Nd 0.250 0.312 0.624
Nd 0.750 0.933 0.866
Ga 0.750 0.534 0.069
As 0.750 0.811 0.623
Ga 0.250 0.466 0.931
Nd 0.250 0.067 0.134

***

Which structure is the most stable? The one labeled arrangement ii.

***

Arrangement i

First-principles (PBE-GGA) data for a geometry-optimized NpGaAs structure, as listed in the Alexandria database.

Symmetry = No. 63

a = 3.942 Å, b = 4.009 Å, c = 7.754 Å
α = 75.02°, β = 90.00°, γ = 90.00°
Element x y z (fractional)
As 0.750 0.405 0.190
As 0.250 0.595 0.810
Np 0.750 0.049 0.902
Ga 0.750 0.743 0.515
Ga 0.250 0.257 0.485
Np 0.250 0.951 0.098

***

Arrangement ii

First-principles (PBE-GGA) data for a geometry-optimized NpGaAs structure, as listed in the Alexandria database.

Symmetry = No. 187

a = 3.642 Å, b = 4.450 Å, c = 4.450 Å
α = 120.00°, β = 90.00°, γ = 90.00°
Element x y z (fractional)
Np 0.667 0.667 0.333
Ga 0.167 0.333 0.667
As 0.167 0.000 0.000

***

Which structure is the most stable? The one labeled arrangement ii.

***

Arrangement i

First-principles (PBE-GGA) data for a geometry-optimized GaAs2O structure, as listed in the Alexandria database.

Symmetry = No. 122

a = 4.925 Å, b = 4.925 Å, c = 7.268 Å
α = 70.19°, β = 70.19°, γ = 90.00°
Element x y z (fractional)
As 0.875 0.786 0.750
O 0.500 0.500 0.000
As 0.214 0.625 0.250
Ga 0.000 0.000 0.000
As 0.536 0.125 0.250
Ga 0.750 0.250 0.500
As 0.375 0.464 0.750
O 0.250 0.750 0.500

***

Arrangement ii

First-principles (PBE-GGA) data for a geometry-optimized GaAs2O structure, as listed in the Alexandria database.

Symmetry = No. 225

a = 4.410 Å, b = 4.410 Å, c = 4.410 Å
α = 60.00°, β = 60.00°, γ = 60.00°
Element x y z (fractional)
Ga 0.500 0.500 0.500
O 0.000 0.000 0.000
As 0.250 0.250 0.250
As 0.750 0.750 0.750

***

Which structure is the most stable? The one labeled arrangement i.

***

Arrangement i

First-principles (PBE-GGA) data for a geometry-optimized Ga3AsO structure, as listed in the Alexandria database.

Symmetry = No. 221

a = 4.456 Å, b = 4.456 Å, c = 4.456 Å
α = 90.00°, β = 90.00°, γ = 90.00°
Element x y z (fractional)
Ga 0.000 0.000 0.500
Ga 0.500 0.000 0.000
As 0.500 0.500 0.500
Ga 0.000 0.500 0.000
O 0.000 0.000 0.000

***

Arrangement ii

First-principles (PBE-GGA) data for a geometry-optimized Ga3AsO structure, as listed in the Alexandria database.

Symmetry = No. 221

a = 5.029 Å, b = 5.029 Å, c = 5.029 Å
α = 90.00°, β = 90.00°, γ = 90.00°
Element x y z (fractional)
Ga 0.500 0.000 0.000
Ga 0.000 0.000 0.500
Ga 0.000 0.500 0.000
O 0.500 0.500 0.500
As 0.000 0.000 0.000

***

Which structure is the most stable? The one labeled arrangement i.

***

Arrangement i

First-principles (PBE-GGA) data for a geometry-optimized GaAsP2O structure, as listed in the Alexandria database.

Symmetry = No. 123

a = 4.837 Å, b = 4.837 Å, c = 3.625 Å
α = 90.00°, β = 90.00°, γ = 90.00°
Element x y z (fractional)
O 0.000 0.000 0.500
As 0.500 0.500 0.500
P 0.500 0.000 0.000
P 0.000 0.500 0.000
Ga 0.000 0.000 0.000

***

Arrangement ii

First-principles (PBE-GGA) data for a geometry-optimized GaAsP2O structure, as listed in the Alexandria database.

Symmetry = No. 123

a = 4.841 Å, b = 4.841 Å, c = 3.666 Å
α = 90.00°, β = 90.00°, γ = 90.00°
Element x y z (fractional)
As 0.000 0.000 0.000
Ga 0.500 0.500 0.500
P 0.000 0.500 0.000
O 0.000 0.000 0.500
P 0.500 0.000 0.000

***

Which structure is the most stable? The one labeled arrangement ii.

***

Arrangement i

First-principles (PBE-GGA) data for a geometry-optimized GaAsSe2O structure, as listed in the Alexandria database.

Symmetry = No. 123

a = 4.535 Å, b = 4.535 Å, c = 4.527 Å
α = 90.00°, β = 90.00°, γ = 90.00°
Element x y z (fractional)
Ga 0.500 0.500 0.500
Se 0.000 0.500 0.000
As 0.000 0.000 0.500
O 0.000 0.000 0.000
Se 0.500 0.000 0.000

***

Arrangement ii

First-principles (PBE-GGA) data for a geometry-optimized GaAsSe2O structure, as listed in the Alexandria database.

Symmetry = No. 123

a = 4.847 Å, b = 4.847 Å, c = 5.000 Å
α = 90.00°, β = 90.00°, γ = 90.00°
Element x y z (fractional)
Ga 0.000 0.000 0.000
As 0.000 0.000 0.500
Se 0.500 0.000 0.000
O 0.500 0.500 0.500
Se 0.000 0.500 0.000

***

Which structure is the most stable? The one labeled arrangement i.

***

Arrangement i

First-principles (PBE-GGA) data for a geometry-optimized Ga3AsOs structure, as listed in the Alexandria database.

Symmetry = No. 221

a = 4.817 Å, b = 4.817 Å, c = 4.817 Å
α = 90.00°, β = 90.00°, γ = 90.00°
Element x y z (fractional)
Ga 0.000 0.000 0.500
Ga 0.500 0.000 0.000
As 0.000 0.000 0.000
Os 0.500 0.500 0.500
Ga 0.000 0.500 0.000

***

Arrangement ii

First-principles (PBE-GGA) data for a geometry-optimized Ga3AsOs structure, as listed in the Alexandria database.

Symmetry = No. 221

a = 4.837 Å, b = 4.837 Å, c = 4.837 Å
α = 90.00°, β = 90.00°, γ = 90.00°
Element x y z (fractional)
As 0.500 0.500 0.500
Ga 0.500 0.000 0.000
Ga 0.000 0.500 0.000
Ga 0.000 0.000 0.500
Os 0.000 0.000 0.000

***

Which structure is the most stable? The one labeled arrangement ii.

***

Arrangement i

First-principles (PBE-GGA) data for a geometry-optimized Ga3AsP structure, as listed in the Alexandria database.

Symmetry = No. 221

a = 4.769 Å, b = 4.769 Å, c = 4.769 Å
α = 90.00°, β = 90.00°, γ = 90.00°
Element x y z (fractional)
Ga 0.500 0.000 0.000
As 0.500 0.500 0.500
P 0.000 0.000 0.000
Ga 0.000 0.500 0.000
Ga 0.000 0.000 0.500

***

Arrangement ii

First-principles (PBE-GGA) data for a geometry-optimized Ga3AsP structure, as listed in the Alexandria database.

Symmetry = No. 221

a = 4.935 Å, b = 4.935 Å, c = 4.935 Å
α = 90.00°, β = 90.00°, γ = 90.00°
Element x y z (fractional)
Ga 0.000 0.000 0.500
Ga 0.500 0.000 0.000
P 0.500 0.500 0.500
Ga 0.000 0.500 0.000
As 0.000 0.000 0.000

***

Which structure is the most stable? The one labeled arrangement i.

***

Arrangement i

First-principles (PBE-GGA) data for a geometry-optimized GaAs2PSe structure, as listed in the Alexandria database.

Symmetry = No. 123

a = 4.908 Å, b = 4.908 Å, c = 4.808 Å
α = 90.00°, β = 90.00°, γ = 90.00°
Element x y z (fractional)
As 0.000 0.500 0.000
P 0.500 0.500 0.500
Se 0.000 0.000 0.500
Ga 0.000 0.000 0.000
As 0.500 0.000 0.000

***

Arrangement ii

First-principles (PBE-GGA) data for a geometry-optimized GaAs2PSe structure, as listed in the Alexandria database.

Symmetry = No. 123

a = 4.771 Å, b = 4.771 Å, c = 5.044 Å
α = 90.00°, β = 90.00°, γ = 90.00°
Element x y z (fractional)
As 0.000 0.500 0.000
P 0.000 0.000 0.000
As 0.500 0.000 0.000
Se 0.000 0.000 0.500
Ga 0.500 0.500 0.500

***

Which structure is the most stable? The one labeled arrangement ii.